Entry 1:
# MoIrRh3 (PBE, optimized geometry)
# formation enthalpy at 0 K = 1.5821 eV/atom
# final energy = -6.7672 eV per atom
data_MoIrRh3
_chemical_formula_sum 'Mo1 Ir1 Rh3'
_symmetry_space_group_name_H-M 'P m -3 m'
_symmetry_Int_Tables_number 221
_symmetry_space_group_name_Hall '-P 4 2 3'
_cell_length_a 4.5866
_cell_length_b 4.5866
_cell_length_c 4.5866
_cell_angle_alpha 90.00
_cell_angle_beta 90.00
_cell_angle_gamma 90.00
loop_
_atom_site_label
_atom_site_type_symbol
_atom_site_fract_x
_atom_site_fract_y
_atom_site_fract_z
Mo1 Mo 0.0000 0.0000 0.0000
Ir1 Ir 0.5000 0.5000 0.5000
Rh1 Rh 0.0000 0.0000 0.5000


Entry 2:
# MoIrRh (PBE, optimized geometry)
# formation enthalpy at 0 K = -0.1415 eV/atom
# final energy = -9.1560 eV per atom
data_MoIrRh
_chemical_formula_sum 'Mo1 Ir1 Rh1'
_symmetry_space_group_name_H-M 'P 3 m 1'
_symmetry_Int_Tables_number 156
_cell_length_a 2.7530
_cell_length_b 2.7530
_cell_length_c 6.7756
_cell_angle_alpha 90.00
_cell_angle_beta 90.00
_cell_angle_gamma 120.00
loop_
_symmetry_equiv_pos_as_xyz
'x,y,z'
'-y,x-y,z'
'-x+y,-x,z'
'-y,-x,z'
'-x+y,y,z'
'x,x-y,z'
loop_
_atom_site_label
_atom_site_type_symbol
_atom_site_fract_x
_atom_site_fract_y
_atom_site_fract_z
Mo1 Mo 0.0000 0.0000 0.0000
Ir1 Ir 0.3333 0.6667 0.6756
Rh1 Rh 0.6667 0.3333 0.3272


Entry 3:
# MoIr2Rh5 (PBE, optimized geometry)
# formation enthalpy at 0 K = 0.2159 eV/atom
# final energy = -7.9479 eV per atom
data_MoIr2Rh5
_chemical_formula_sum 'Mo4 Ir8 Rh20'
_symmetry_space_group_name_H-M 'I 4/m c m'
_symmetry_Int_Tables_number 140
_symmetry_space_group_name_Hall '-I 4 2c'
_cell_length_a 6.6034
_cell_length_b 6.6034
_cell_length_c 11.1299
_cell_angle_alpha 90.00
_cell_angle_beta 90.00
_cell_angle_gamma 90.00
loop_
_atom_site_label
_atom_site_type_symbol
_atom_site_fract_x
_atom_site_fract_y
_atom_site_fract_z
Mo1 Mo 0.0000 0.0000 0.2500
Ir1 Ir 0.1366 0.3634 0.0000
Rh1 Rh 0.0000 0.0000 0.0000
Rh2 Rh 0.1486 0.3514 0.3311


Entry 4:
# Mo2IrRh2 (PBE, optimized geometry)
# formation enthalpy at 0 K = 0.4172 eV/atom
# final energy = -8.6280 eV per atom
data_Mo2IrRh2
_chemical_formula_sum 'Mo4 Ir2 Rh4'
_symmetry_space_group_name_H-M 'I 4/m m m'
_symmetry_Int_Tables_number 139
_symmetry_space_group_name_Hall '-I 4 2'
_cell_length_a 3.6567
_cell_length_b 3.6567
_cell_length_c 12.2328
_cell_angle_alpha 90.00
_cell_angle_beta 90.00
_cell_angle_gamma 90.00
loop_
_atom_site_label
_atom_site_type_symbol
_atom_site_fract_x
_atom_site_fract_y
_atom_site_fract_z
Mo1 Mo 0.0000 0.0000 0.0965
Ir1 Ir 0.0000 0.0000 0.5000
Rh1 Rh 0.0000 0.5000 0.2500


Entry 5:
# Mo2IrRh2 (PBE, optimized geometry)
# formation enthalpy at 0 K = 0.0545 eV/atom
# final energy = -8.9907 eV per atom
data_Mo2IrRh2
_chemical_formula_sum 'Mo4 Ir2 Rh4'
_symmetry_space_group_name_H-M 'P 4/m b m'
_symmetry_Int_Tables_number 127
_symmetry_space_group_name_Hall '-P 4 2ab'
_cell_length_a 7.3544
_cell_length_b 7.3544
_cell_length_c 2.8324
_cell_angle_alpha 90.00
_cell_angle_beta 90.00
_cell_angle_gamma 90.00
loop_
_atom_site_label
_atom_site_type_symbol
_atom_site_fract_x
_atom_site_fract_y
_atom_site_fract_z
Mo1 Mo 0.1738 0.3262 0.0000
Ir1 Ir 0.0000 0.0000 0.5000
Rh1 Rh 0.1253 0.6253 0.5000


Entry 6:
# MoIr3Rh4 (PBE, optimized geometry)
# formation enthalpy at 0 K = 0.1875 eV/atom
# final energy = -8.1650 eV per atom
data_MoIr3Rh4
_chemical_formula_sum 'Mo2 Ir6 Rh8'
_symmetry_space_group_name_H-M 'I m m m'
_symmetry_Int_Tables_number 71
_symmetry_space_group_name_Hall '-I 2 2'
_cell_length_a 2.7103
_cell_length_b 8.5478
_cell_length_c 10.4523
_cell_angle_alpha 90.00
_cell_angle_beta 90.00
_cell_angle_gamma 90.00
loop_
_atom_site_label
_atom_site_type_symbol
_atom_site_fract_x
_atom_site_fract_y
_atom_site_fract_z
Mo1 Mo 0.0000 0.0000 0.0000
Ir1 Ir 0.0000 0.0000 0.5000
Ir2 Ir 0.0000 0.5000 0.2875
Rh1 Rh 0.0000 0.2645 0.1265


Entry 7:
# MoIr3Rh6 (PBE, optimized geometry)
# formation enthalpy at 0 K = 0.2900 eV/atom
# final energy = -7.8623 eV per atom
data_MoIr3Rh6
_chemical_formula_sum 'Mo1 Ir3 Rh6'
_symmetry_space_group_name_H-M 'P -3 1 m'
_symmetry_Int_Tables_number 162
_symmetry_space_group_name_Hall '-P 3 2'
_cell_length_a 5.0750
_cell_length_b 5.0750
_cell_length_c 6.8535
_cell_angle_alpha 90.00
_cell_angle_beta 90.00
_cell_angle_gamma 120.00
loop_
_atom_site_label
_atom_site_type_symbol
_atom_site_fract_x
_atom_site_fract_y
_atom_site_fract_z
Mo1 Mo 0.0000 0.0000 0.0000
Ir1 Ir 0.0000 0.0000 0.5000
Ir2 Ir 0.3333 0.6667 0.5000
Rh1 Rh 0.0000 0.4142 0.8109


Entry 8:
# MoIrRh (PBE, optimized geometry)
# formation enthalpy at 0 K = -0.2239 eV/atom
# final energy = -9.2384 eV per atom
data_MoIrRh
_chemical_formula_sum 'Mo4 Ir4 Rh4'
_symmetry_space_group_name_H-M 'C m c m'
_symmetry_Int_Tables_number 63
_symmetry_space_group_name_Hall '-C 2c 2'
_cell_length_a 3.8932
_cell_length_b 11.6870
_cell_length_c 3.8900
_cell_angle_alpha 90.00
_cell_angle_beta 90.00
_cell_angle_gamma 90.00
loop_
_atom_site_label
_atom_site_type_symbol
_atom_site_fract_x
_atom_site_fract_y
_atom_site_fract_z
Mo1 Mo 0.0000 0.0858 0.2500
Ir1 Ir 0.0000 0.4189 0.2500
Rh1 Rh 0.0000 0.2511 0.7500